[1]
Tb2InNi GGA-PBE relaxed; SG = P4/mmm (123); total energy = -4.870 eV per atom; formation energy = -1.698 eV/f.u.; magnetization = 0.000 μB per cell; theoretical density = 8.790 g cm⁻³
1.0
-1.869 1.054 -2.730
-2.923 -0.842 1.676
-0.341 7.093 2.971
Tb Ni In
2 1 1
Direct
0.000 0.000 0.214
0.000 0.000 0.786
0.500 0.500 0.000
0.500 0.500 0.500

[2]
Tb3In4Ni2 GGA-PBE relaxed; SG = C2/m (12); total energy = -4.465 eV per atom; formation energy = -3.781 eV/f.u.; magnetization = 0.000 μB per cell; theoretical density = 8.494 g cm⁻³
1.0
4.410 0.000 1.177
1.882 5.433 1.799
0.073 -0.131 8.583
Tb Ni In
3 2 4
Direct
0.000 0.000 0.000
0.315 0.742 0.629
0.685 0.258 0.371
0.402 0.928 0.268
0.598 0.072 0.732
0.022 0.309 0.647
0.272 0.373 0.084
0.978 0.691 0.353
0.728 0.627 0.916

[3]
Tb2InNi GGA-PBE relaxed; SG = R-3m (166); total energy = -4.495 eV per atom; formation energy = -0.200 eV/f.u.; magnetization = 0.000 μB per cell; theoretical density = 6.683 g cm⁻³
1.0
-0.849 -1.442 3.473
-0.903 -3.729 0.370
8.569 -3.803 2.656
Ni In Tb
1 1 2
Direct
0.500 0.500 0.500
0.000 0.000 0.000
0.114 0.114 0.657
0.886 0.886 0.343

[4]
TbInNi5 GGA-PBE relaxed; SG = Pnma (62); total energy = -5.509 eV per atom; formation energy = -2.287 eV/f.u.; magnetization = 0.010 μB per cell; theoretical density = 9.308 g cm⁻³
1.0
-2.228 4.095 -1.330
-7.173 -3.691 0.647
-0.595 2.888 9.886
Ni In Tb
20 4 4
Direct
0.750 0.417 0.983
0.750 0.311 0.759
0.499 0.067 0.689
0.250 0.453 0.394
0.250 0.583 0.017
0.001 0.567 0.811
0.001 0.067 0.689
0.750 0.917 0.517
0.750 0.811 0.741
0.501 0.933 0.311
0.750 0.047 0.894
0.250 0.953 0.106
0.501 0.433 0.189
0.250 0.189 0.259
0.499 0.567 0.811
0.250 0.689 0.241
0.250 0.083 0.483
0.750 0.547 0.606
0.999 0.933 0.311
0.999 0.433 0.189
0.250 0.862 0.863
0.250 0.362 0.637
0.750 0.638 0.363
0.750 0.138 0.137
0.250 0.751 0.561
0.750 0.249 0.439
0.250 0.251 0.939
0.750 0.749 0.061

[5]
Tb12InNi5 GGA-PBE relaxed; SG = Immm (71); total energy = -5.177 eV per atom; formation energy = -5.970 eV/f.u.; magnetization = 0.000 μB per cell; theoretical density = 8.551 g cm⁻³
1.0
-7.712 3.095 0.946
-0.063 -8.257 1.333
5.344 3.323 5.510
Ni Tb In
5 12 1
Direct
0.634 0.634 0.000
0.500 0.876 0.376
0.500 0.124 0.624
0.366 0.366 0.000
0.000 0.000 0.000
0.306 0.322 0.627
0.810 0.021 0.211
0.190 0.401 0.211
0.114 0.818 0.296
0.479 0.182 0.296
0.694 0.322 0.016
0.810 0.599 0.789
0.886 0.182 0.704
0.306 0.678 0.984
0.521 0.818 0.704
0.694 0.678 0.373
0.190 0.979 0.789
0.000 0.500 0.500

[6]
Tb11In9Ni4 GGA-PBE relaxed; SG = Cmmm (65); total energy = -4.637 eV per atom; formation energy = -12.594 eV/f.u.; magnetization = 0.000 μB per cell; theoretical density = 8.650 g cm⁻³
1.0
3.666 0.000 0.000
0.000 12.052 -5.085
0.000 0.060 13.080
In Tb Ni
9 11 4
Direct
0.500 0.368 0.842
0.500 0.077 0.219
0.500 0.842 0.368
0.500 0.781 0.923
0.500 0.500 0.500
0.500 0.632 0.158
0.500 0.923 0.781
0.500 0.158 0.632
0.500 0.219 0.077
0.000 0.080 0.417
0.000 0.839 0.161
0.000 0.161 0.839
0.000 0.626 0.374
0.000 0.000 0.000
0.000 0.374 0.626
0.000 0.312 0.312
0.000 0.920 0.583
0.000 0.417 0.080
0.000 0.688 0.688
0.000 0.583 0.920
0.500 0.550 0.752
0.500 0.450 0.248
0.500 0.752 0.550
0.500 0.248 0.450

[7]
TbIn3Ni8 GGA-PBE relaxed; SG = R3m (160); total energy = -5.134 eV per atom; energy above the lowest structure with this stoichiometry = 0 meV/atom; formation energy = -2.512 eV/f.u.; magnetization = 0.000 μB per cell; theoretical density = 9.333 g cm⁻³
1.0
4.741 0.000 1.431
2.155 4.223 1.431
-0.021 -0.013 8.637
Ni In Tb
8 3 1
Direct
0.938 0.434 0.690
0.938 0.938 0.690
0.939 0.439 0.183
0.439 0.439 0.183
0.434 0.938 0.690
0.439 0.939 0.183
0.688 0.688 0.937
0.187 0.187 0.438
0.496 0.496 0.511
0.374 0.374 0.879
0.002 0.002 0.995
0.876 0.876 0.372

[8]
Tb4In20Ni11 GGA-PBE relaxed; SG = P-1 (2); total energy = -4.200 eV per atom; formation energy = -10.106 eV/f.u.; magnetization = 0.000 μB per cell; theoretical density = 8.728 g cm⁻³
1.0
4.353 -0.001 0.000
2.179 11.386 0.009
2.178 1.899 13.734
In Ni Tb
20 11 4
Direct
0.600 0.787 0.010
0.796 0.401 0.003
0.387 0.531 0.690
0.113 0.322 0.449
0.884 0.678 0.552
0.934 0.337 0.790
0.063 0.663 0.210
0.008 0.075 0.905
0.702 0.095 0.498
0.610 0.469 0.310
0.295 0.905 0.502
0.201 0.599 0.997
0.245 0.797 0.710
0.370 0.060 0.197
0.457 0.704 0.379
0.396 0.214 0.990
0.752 0.203 0.290
0.540 0.296 0.622
0.989 0.925 0.095
0.627 0.940 0.804
0.652 0.572 0.121
0.863 0.168 0.102
0.251 0.112 0.383
0.133 0.832 0.898
0.505 0.181 0.804
0.499 0.500 0.500
0.021 0.555 0.400
0.345 0.429 0.879
0.492 0.819 0.196
0.977 0.444 0.600
0.746 0.887 0.617
0.879 0.906 0.332
0.227 0.368 0.175
0.770 0.631 0.825
0.118 0.094 0.668

[9]
Tb3InNi2 GGA-PBE relaxed; SG = Pmc2_1 (26); total energy = -5.098 eV per atom; formation energy = -2.395 eV/f.u.; magnetization = 0.000 μB per cell; theoretical density = 8.494 g cm⁻³
1.0
-2.282 -2.931 2.128
1.324 -4.721 -5.085
7.564 -2.663 4.442
Tb Ni In
6 4 2
Direct
0.500 0.687 0.837
0.000 0.827 0.558
0.500 0.213 0.751
0.000 0.327 0.442
0.500 0.187 0.163
0.500 0.713 0.249
0.000 0.978 0.285
0.500 0.044 0.451
0.000 0.478 0.715
0.500 0.544 0.549
0.000 0.952 0.984
0.000 0.452 0.016

[10]
TbIn6Ni4 GGA-PBE relaxed; SG = I-42m (121); total energy = -4.294 eV per atom; formation energy = -3.043 eV/f.u.; magnetization = 0.000 μB per cell; theoretical density = 8.316 g cm⁻³
1.0
-2.523 5.414 3.046
-4.378 0.783 -5.018
0.290 -5.879 3.310
In Ni Tb
6 4 1
Direct
0.500 0.000 0.000
0.391 0.032 0.423
0.968 0.968 0.577
0.609 0.609 0.577
0.032 0.391 0.423
0.000 0.500 0.000
0.767 0.097 0.864
0.097 0.767 0.864
0.903 0.903 0.136
0.233 0.233 0.136
0.500 0.500 0.000

[11]
Tb5In4Ni2 GGA-PBE relaxed; SG = Pbam (55); total energy = -4.674 eV per atom; formation energy = -5.751 eV/f.u.; magnetization = 0.003 μB per cell; theoretical density = 8.684 g cm⁻³
1.0
-0.616 -2.406 -2.655
4.246 -5.486 3.986
-14.969 -5.464 8.426
Ni In Tb
4 8 10
Direct
0.500 0.475 0.804
0.500 0.025 0.304
0.500 0.975 0.696
0.500 0.525 0.196
0.500 0.571 0.652
0.500 0.071 0.848
0.500 0.429 0.348
0.500 0.207 0.570
0.500 0.707 0.930
0.500 0.793 0.430
0.500 0.929 0.152
0.500 0.293 0.070
0.000 0.253 0.722
0.000 0.247 0.222
0.000 0.000 0.000
0.000 0.615 0.088
0.000 0.747 0.278
0.000 0.753 0.778
0.000 0.385 0.912
0.000 0.885 0.588
0.000 0.115 0.412
0.000 0.500 0.500

[12]
Tb2InNi2 GGA-PBE relaxed; SG = P4/mbm (127); total energy = -5.219 eV per atom; formation energy = -2.533 eV/f.u.; magnetization = 0.000 μB per cell; theoretical density = 9.014 g cm⁻³
1.0
-3.224 1.296 -1.249
-3.606 -4.360 4.782
0.204 5.395 5.072
In Ni Tb
2 4 4
Direct
0.000 0.000 0.000
0.000 0.500 0.500
0.000 0.119 0.381
0.000 0.881 0.619
0.000 0.619 0.119
0.000 0.381 0.881
0.500 0.824 0.324
0.500 0.176 0.676
0.500 0.324 0.176
0.500 0.676 0.824

[13]
Tb12In6Ni GGA-PBE relaxed; SG = R-3 (148); total energy = -4.310 eV per atom; formation energy = -4.121 eV/f.u.; magnetization = 0.000 μB per cell; theoretical density = 7.792 g cm⁻³
1.0
-4.510 1.914 6.689
5.549 -4.417 4.296
4.465 6.980 0.304
In Tb Ni
6 12 1
Direct
0.138 0.737 0.343
0.343 0.138 0.737
0.657 0.862 0.263
0.737 0.343 0.138
0.862 0.263 0.657
0.263 0.657 0.862
0.908 0.686 0.022
0.978 0.092 0.314
0.686 0.022 0.908
0.314 0.978 0.092
0.092 0.314 0.978
0.571 0.457 0.797
0.429 0.543 0.203
0.203 0.429 0.543
0.457 0.797 0.571
0.022 0.908 0.686
0.543 0.203 0.429
0.797 0.571 0.457
0.000 0.000 0.000

[14]
Tb6InNi2 GGA-PBE relaxed; SG = Immm (71); total energy = -5.009 eV per atom; formation energy = -3.000 eV/f.u.; magnetization = 0.000 μB per cell; theoretical density = 8.466 g cm⁻³
1.0
-8.061 -0.669 -2.494
5.493 -0.180 -6.438
1.969 -6.589 4.936
Ni Tb In
4 12 2
Direct
0.500 0.622 0.122
0.500 0.378 0.878
0.647 0.000 0.647
0.353 0.000 0.353
0.109 0.292 0.817
0.203 0.233 0.436
0.203 0.767 0.970
0.692 0.015 0.324
0.308 0.985 0.676
0.308 0.632 0.324
0.797 0.767 0.564
0.524 0.708 0.817
0.891 0.708 0.183
0.476 0.292 0.183
0.797 0.233 0.030
0.692 0.368 0.676
0.000 0.000 0.000
0.000 0.500 0.500

[15]
Tb5InNi GGA-PBE relaxed; SG = C2/c (15); total energy = -4.650 eV per atom; formation energy = -0.881 eV/f.u.; magnetization = 0.000 μB per cell; theoretical density = 8.038 g cm⁻³
1.0
-3.140 5.435 -1.592
-5.861 -0.714 -2.659
-7.478 1.876 8.258
Tb In Ni
10 2 2
Direct
0.032 0.403 0.862
0.984 0.016 0.250
0.968 0.597 0.138
0.403 0.032 0.362
0.016 0.984 0.750
0.450 0.795 0.954
0.795 0.450 0.454
0.205 0.550 0.546
0.597 0.968 0.638
0.550 0.205 0.046
0.469 0.531 0.250
0.531 0.469 0.750
0.000 0.000 0.500
0.000 0.000 0.000

[16]
Tb2InNi GGA-PBE relaxed; SG = P2_1/m (11); total energy = -4.839 eV per atom; formation energy = -1.576 eV/f.u.; magnetization = 0.000 μB per cell; theoretical density = 8.237 g cm⁻³
1.0
-1.226 2.002 3.004
-5.106 1.751 -3.250
-1.685 -7.442 4.272
In Tb Ni
2 4 2
Direct
0.750 0.131 0.796
0.250 0.869 0.204
0.750 0.672 0.887
0.750 0.246 0.455
0.250 0.328 0.113
0.250 0.754 0.545
0.250 0.385 0.699
0.750 0.615 0.301

[17]
TbTmInNi GGA-PBE relaxed; SG = F-43m (216); total energy = -4.726 eV per atom; formation energy = -1.283 eV/f.u.; magnetization = 0.000 μB per cell; theoretical density = 9.041 g cm⁻³
1.0
5.069 0.000 0.000
2.534 4.390 0.000
2.534 1.463 4.139
Tm In Tb Ni
1 1 1 1
Direct
0.000 0.000 0.000
0.750 0.750 0.750
0.500 0.500 0.500
0.250 0.250 0.250

[18]
Tb2Zn2InNi5 GGA-PBE relaxed; SG = P4/mbm (127); total energy = -4.633 eV per atom; formation energy = -2.872 eV/f.u.; magnetization = 0.000 μB per cell; theoretical density = 8.916 g cm⁻³
1.0
3.635 0.000 0.000
0.000 9.371 0.000
0.000 0.000 9.371
In Ni Zn Tb
2 10 4 4
Direct
0.000 0.500 0.500
0.000 0.000 0.000
0.500 0.937 0.215
0.500 0.785 0.937
0.500 0.285 0.563
0.500 0.063 0.785
0.500 0.563 0.715
0.500 0.000 0.500
0.500 0.715 0.437
0.500 0.215 0.063
0.500 0.500 0.000
0.500 0.437 0.285
0.000 0.116 0.616
0.000 0.384 0.116
0.000 0.884 0.384
0.000 0.616 0.884
0.000 0.820 0.680
0.000 0.680 0.180
0.000 0.180 0.320
0.000 0.320 0.820